--- i ---
Computed, not measured: a relaxed structure of LiZrSc at the PBE level of DFT.

Values from the calculation:
Its space-group type is P6_3/mmc. The density of states at the Fermi level comes out at 4.05 states/eV/f.u. The mass density comes out at 3.24 g/cm³.

Lattice parameters (Å, degrees): 4.0186 4.0186 10.4780 90.00 90.00 120.00
Last column: nearest neighbours and their distance in Å.
Atoms (fractional coordinates):
Li1 0.3333 0.6667 0.2500  3 Sc 2.32
Li2 0.6667 0.3333 0.7500  3 Sc 2.32
Zr1 0.0000 0.0000 0.0000  2 Sc 2.62
Zr2 0.0000 0.0000 0.5000  2 Sc 2.62
Sc1 0.0000 0.0000 0.2500  3 Li 2.32
Sc2 0.0000 0.0000 0.7500  3 Li 2.32

--- ii ---
Computed, not measured: a relaxed structure of LiZrSc at the PBE level of DFT.

Values from the calculation:
Its space-group type is C2/m. The density of states at the Fermi level comes out at 3.08 states/eV/f.u. The mass density comes out at 3.74 g/cm³.

Lattice parameters (Å, degrees): 5.7112 5.7112 7.7619 109.61 109.61 32.42
Last column: nearest neighbours and their distance in Å.
Atoms (fractional coordinates):
Li1 0.1950 0.1950 0.0753  2 Li 2.52
Li2 0.8050 0.8050 0.9247  2 Li 2.52
Zr1 0.4814 0.4814 0.7807  5 Li 3.01-3.33, 4 Sc 3.13-3.24, 3 Zr 3.19-3.28
Zr2 0.5186 0.5186 0.2193  5 Li 3.01-3.33, 4 Sc 3.13-3.24, 3 Zr 3.19-3.28
Sc1 0.1533 0.1533 0.5829  2 Li 3.04, 5 Zr 3.13-3.38, 5 Sc 3.15-3.26
Sc2 0.8467 0.8467 0.4171  2 Li 3.04, 5 Zr 3.13-3.38, 5 Sc 3.15-3.26

It is ii that is most stable; the runner-up trails by 1.288 eV/atom.

--- i ---
Computed, not measured: a relaxed structure of LiZrSc at the PBE level of DFT.

Values from the calculation:
Its space-group type is C2/m. The density of states at the Fermi level comes out at 4.19 states/eV/f.u. The mass density comes out at 3.42 g/cm³.

Lattice parameters (Å, degrees): 8.5964 8.5964 5.5258 108.63 108.63 21.11
Last column: nearest neighbours and their distance in Å.
Atoms (fractional coordinates):
Li1 0.0000 0.0000 0.0000  6 Li 3.15-3.18, 4 Sc 3.29, 2 Zr 3.33
Li2 0.5000 0.5000 0.5000  6 Li 3.15-3.18, 2 Sc 3.30, 4 Zr 3.33
Zr1 0.1738 0.1738 0.8416  4 Zr 3.04-3.15, 5 Sc 3.09-3.19, 3 Li 3.33
Zr2 0.8262 0.8262 0.1584  4 Zr 3.04-3.15, 5 Sc 3.09-3.19, 3 Li 3.33
Sc1 0.3290 0.3290 0.6634  5 Zr 3.09-3.19, 4 Sc 3.12-3.15, 3 Li 3.29-3.30
Sc2 0.6710 0.6710 0.3366  5 Zr 3.09-3.19, 4 Sc 3.12-3.15, 3 Li 3.29-3.30

--- ii ---
Computed, not measured: a relaxed structure of LiZrSc at the PBE level of DFT.

Values from the calculation:
Its space-group type is P-1. The density of states at the Fermi level comes out at 3.45 states/eV/f.u. The mass density comes out at 3.60 g/cm³.

Lattice parameters (Å, degrees): 3.2489 5.1033 8.1964 82.64 78.71 89.91
Last column: nearest neighbours and their distance in Å.
Atoms (fractional coordinates):
Li1 0.0638 0.2013 0.3764  1 Li 2.67
Li2 0.9362 0.7987 0.6236  1 Li 2.67
Zr1 0.2715 0.7595 0.9534  2 Li 3.09-3.10, 6 Zr 3.11-3.25, 4 Sc 3.16-3.23
Zr2 0.7285 0.2405 0.0466  2 Li 3.09-3.10, 6 Zr 3.11-3.25, 4 Sc 3.16-3.23
Sc1 0.3974 0.3072 0.7066  6 Li 2.99-3.22, 4 Zr 3.16-3.23, 2 Sc 3.25
Sc2 0.6026 0.6928 0.2934  6 Li 2.99-3.22, 4 Zr 3.16-3.23, 2 Sc 3.25

--- iii ---
Computed, not measured: a relaxed structure of LiZrSc at the PBE level of DFT.

Values from the calculation:
Its space-group type is P4/nmm. The density of states at the Fermi level comes out at 4.00 states/eV/f.u. The mass density comes out at 3.77 g/cm³.

Lattice parameters (Å, degrees): 4.3230 4.3230 6.7384 90.00 90.00 90.00
Last column: nearest neighbours and their distance in Å.
Atoms (fractional coordinates):
Li1 0.2500 0.2500 0.2427  1 Zr 2.51, 4 Sc 2.77
Li2 0.7500 0.7500 0.7573  1 Zr 2.51, 4 Sc 2.77
Zr1 0.2500 0.2500 0.8708  1 Li 2.51
Zr2 0.7500 0.7500 0.1292  1 Li 2.51
Sc1 0.2500 0.7500 0.5000  4 Li 2.77, 4 Sc 3.06
Sc2 0.7500 0.2500 0.5000  4 Li 2.77, 4 Sc 3.06

--- iv ---
Computed, not measured: a relaxed structure of LiZrSc at the PBE level of DFT.

Values from the calculation:
Its space-group type is P4/nmm. The density of states at the Fermi level comes out at 3.12 states/eV/f.u. The mass density comes out at 3.45 g/cm³.

Lattice parameters (Å, degrees): 3.1725 3.1725 13.6816 90.00 90.00 90.00
Last column: nearest neighbours and their distance in Å.
Atoms (fractional coordinates):
Li1 0.2500 0.2500 0.0750  8 Li 3.04-3.17, 4 Sc 3.31
Li2 0.7500 0.7500 0.9250  8 Li 3.04-3.17, 4 Sc 3.31
Zr1 0.2500 0.2500 0.4137  4 Sc 3.14, 8 Zr 3.17-3.26
Zr2 0.7500 0.7500 0.5863  4 Sc 3.14, 8 Zr 3.17-3.26
Sc1 0.2500 0.2500 0.7471  4 Zr 3.14, 4 Sc 3.17, 4 Li 3.31
Sc2 0.7500 0.7500 0.2529  4 Zr 3.14, 4 Sc 3.17, 4 Li 3.31

It is iv that is most stable; the runner-up trails by 0.042 eV/atom.

--- i ---
Computed, not measured: a relaxed structure of LiZrSc at the PBE level of DFT.

Values from the calculation:
Its space-group type is I4mm. The density of states at the Fermi level comes out at 3.61 states/eV/f.u. The mass density comes out at 3.59 g/cm³.

Lattice parameters (Å, degrees): 6.8459 6.8459 6.8459 152.96 152.96 38.61
Last column: nearest neighbours and their distance in Å.
Atoms (fractional coordinates):
Li1 0.0000 0.0000 0.0000  4 Zr 3.14, 4 Sc 3.16, 4 Li 3.20
Zr1 0.3321 0.3321 0.0000  4 Sc 3.08, 4 Li 3.14, 4 Zr 3.20
Sc1 0.6706 0.6706 0.0000  4 Zr 3.08, 4 Li 3.16, 4 Sc 3.20

--- ii ---
Computed, not measured: a relaxed structure of LiZrSc at the PBE level of DFT.

Values from the calculation:
Its space-group type is P-1. The density of states at the Fermi level comes out at 3.37 states/eV/f.u. The mass density comes out at 3.49 g/cm³.

Lattice parameters (Å, degrees): 3.2034 6.0224 7.5282 76.81 89.77 74.64
Last column: nearest neighbours and their distance in Å.
Atoms (fractional coordinates):
Li1 0.1551 0.1984 0.0223  4 Li 2.88-3.20, 1 Zr 3.14, 2 Sc 3.20-3.22
Li2 0.8449 0.8016 0.9777  4 Li 2.88-3.20, 1 Zr 3.14, 2 Sc 3.20-3.22
Zr1 0.1880 0.1175 0.6238  4 Zr 3.01-3.20, 5 Sc 3.13-3.20, 3 Li 3.14-3.28
Zr2 0.8120 0.8825 0.3762  4 Zr 3.01-3.20, 5 Sc 3.13-3.20, 3 Li 3.14-3.28
Sc1 0.4712 0.5607 0.6992  5 Zr 3.13-3.20, 4 Li 3.20-3.25, 3 Sc 3.20-3.24
Sc2 0.5288 0.4393 0.3008  5 Zr 3.13-3.20, 4 Li 3.20-3.25, 3 Sc 3.20-3.24

It is i that is most stable; the runner-up trails by 0.023 eV/atom.

--- i ---
Computed, not measured: a relaxed structure of LiZrSc at the PBE level of DFT.

Values from the calculation:
Its space-group type is Cmcm. The density of states at the Fermi level comes out at 3.09 states/eV/f.u. The mass density comes out at 3.57 g/cm³.

Lattice parameters (Å, degrees): 6.9019 6.9019 4.5147 90.00 90.00 141.72
Last column: nearest neighbours and their distance in Å.
Atoms (fractional coordinates):
Li1 0.2501 0.7499 0.7500  4 Sc 3.14-3.15, 4 Zr 3.19, 4 Li 3.20
Li2 0.7499 0.2501 0.2500  4 Sc 3.14-3.15, 4 Zr 3.19, 4 Li 3.20
Zr1 0.0773 0.9227 0.2500  2 Zr 3.03, 6 Sc 3.07-3.20, 4 Li 3.19
Zr2 0.9227 0.0773 0.7500  2 Zr 3.03, 6 Sc 3.07-3.20, 4 Li 3.19
Sc1 0.4177 0.5823 0.2500  6 Zr 3.07-3.20, 2 Sc 3.12, 4 Li 3.14-3.15
Sc2 0.5823 0.4177 0.7500  6 Zr 3.07-3.20, 2 Sc 3.12, 4 Li 3.14-3.15

--- ii ---
Computed, not measured: a relaxed structure of LiZrSc at the PBE level of DFT.

Values from the calculation:
Its space-group type is Ima2. The density of states at the Fermi level comes out at 2.20 states/eV/f.u. The mass density comes out at 3.71 g/cm³.

Lattice parameters (Å, degrees): 5.8755 5.8755 5.8755 130.80 81.14 120.04
Last column: nearest neighbours and their distance in Å.
Atoms (fractional coordinates):
Li1 0.0687 0.2500 0.3187  2 Li 2.74, 2 Sc 2.82-2.98, 1 Zr 2.88
Li2 0.9313 0.7500 0.6813  2 Li 2.74, 2 Sc 2.82-2.98, 1 Zr 2.88
Zr1 0.0286 0.4909 0.0377  3 Li 2.88-3.10, 2 Zr 3.01, 2 Sc 3.12
Zr2 0.4532 0.9909 0.9623  3 Li 2.88-3.10, 2 Zr 3.01, 2 Sc 3.12
Sc1 0.4243 0.2724 0.6519  3 Li 2.82-3.08, 2 Sc 3.01, 2 Zr 3.12
Sc2 0.6205 0.7724 0.3481  3 Li 2.82-3.08, 2 Sc 3.01, 2 Zr 3.12

It is i that is most stable; the runner-up trails by 0.090 eV/atom.

--- i ---
Computed, not measured: a relaxed structure of Li2ZrSc at the PBE level of DFT.

Values from the calculation:
Its space-group type is C2/m. The density of states at the Fermi level comes out at 3.65 states/eV/f.u. The mass density comes out at 2.90 g/cm³.

Lattice parameters (Å, degrees): 6.1440 6.1440 2.9283 101.38 101.38 121.77
Last column: nearest neighbours and their distance in Å.
Atoms (fractional coordinates):
Li1 0.0000 0.5000 0.0000  6 Li 2.93-3.23, 2 Zr 3.13, 2 Sc 3.13
Li2 0.5000 0.0000 0.0000  6 Li 2.93-3.23, 2 Zr 3.13, 2 Sc 3.13
Zr1 0.0000 0.0000 0.5000  2 Zr 2.93, 4 Sc 2.99-3.23, 4 Li 3.13
Sc1 0.5000 0.5000 0.5000  2 Sc 2.93, 4 Zr 2.99-3.23, 4 Li 3.13

--- ii ---
Computed, not measured: a relaxed structure of Li2ZrSc at the PBE level of DFT.

Values from the calculation:
Its space-group type is I-4m2. The density of states at the Fermi level comes out at 5.05 states/eV/f.u. The mass density comes out at 3.07 g/cm³.

Lattice parameters (Å, degrees): 5.5842 5.5842 5.5842 136.63 136.63 63.01
Last column: nearest neighbours and their distance in Å.
Atoms (fractional coordinates):
Li1 0.0000 0.0000 0.0000  4 Zr 2.92, 4 Li 3.15, 4 Sc 3.15
Li2 0.7500 0.2500 0.5000  4 Sc 2.92, 4 Zr 3.15, 4 Li 3.15
Zr1 0.5000 0.5000 0.0000  8 Li 2.92-3.15, 4 Sc 3.15
Sc1 0.2500 0.7500 0.5000  8 Li 2.92-3.15, 4 Zr 3.15

It is i that is most stable; the runner-up trails by 0.139 eV/atom.

--- i ---
Computed, not measured: a relaxed structure of Li2ZrSc at the PBE level of DFT.

Values from the calculation:
Its space-group type is Cmmm. The density of states at the Fermi level comes out at 3.82 states/eV/f.u. The mass density comes out at 2.88 g/cm³.

Lattice parameters (Å, degrees): 2.9629 2.9629 10.8256 90.00 90.00 114.33
Last column: nearest neighbours and their distance in Å.
Atoms (fractional coordinates):
Li1 0.0000 0.0000 0.2494  6 Li 2.96-3.21, 2 Sc 3.14, 2 Zr 3.15
Li2 0.0000 0.0000 0.7506  6 Li 2.96-3.21, 2 Sc 3.14, 2 Zr 3.15
Zr1 0.5000 0.5000 0.5000  6 Zr 2.96-3.21, 4 Li 3.15
Sc1 0.5000 0.5000 0.0000  6 Sc 2.96-3.21, 4 Li 3.14

--- ii ---
Computed, not measured: a relaxed structure of Li2ZrSc at the PBE level of DFT.

Values from the calculation:
Its space-group type is P4mm. The density of states at the Fermi level comes out at 4.02 states/eV/f.u. The mass density comes out at 2.82 g/cm³.

Lattice parameters (Å, degrees): 3.1042 3.1042 9.1770 90.00 90.00 90.00
Last column: nearest neighbours and their distance in Å.
Atoms (fractional coordinates):
Li1 0.0000 0.0000 0.0000  8 Li 3.05-3.10, 4 Zr 3.27
Li2 0.5000 0.5000 0.2302  8 Li 3.05-3.10, 4 Sc 3.30
Zr1 0.5000 0.5000 0.7360  4 Sc 3.09, 4 Zr 3.10, 4 Li 3.27
Sc1 0.0000 0.0000 0.4989  4 Zr 3.09, 4 Sc 3.10, 4 Li 3.30

--- iii ---
Computed, not measured: a relaxed structure of Li2ZrSc at the PBE level of DFT.

Values from the calculation:
Its space-group type is P2/m. The density of states at the Fermi level comes out at 4.26 states/eV/f.u. The mass density comes out at 2.90 g/cm³.

Lattice parameters (Å, degrees): 2.9239 5.3208 5.5402 90.00 95.41 90.00
Last column: nearest neighbours and their distance in Å.
Atoms (fractional coordinates):
Li1 0.2199 0.0000 0.2454  5 Li 2.90-3.21, 2 Sc 3.11, 2 Zr 3.13
Li2 0.7801 0.0000 0.7546  5 Li 2.90-3.21, 2 Sc 3.11, 2 Zr 3.13
Zr1 0.5000 0.5000 0.0000  2 Zr 2.92, 4 Sc 3.01-3.25, 4 Li 3.13
Sc1 0.0000 0.5000 0.5000  2 Sc 2.92, 4 Zr 3.01-3.25, 4 Li 3.11

It is ii that is most stable; the runner-up trails by 0.153 eV/atom.